This record from Alexandria describes a relaxed structure of Dy4SiSbTe2. The functional is PBE.

Lattice parameters (Å, degrees): 7.485 4.294 7.520 90.00 109.16 90.00
Element x y z (fractional)
1 Dy 0.228 0.000 0.223
2 Dy 0.241 0.500 0.770
3 Dy 0.759 0.500 0.230
4 Dy 0.772 0.000 0.777
5 Si 0.000 0.500 0.000
6 Sb 0.500 0.000 0.000
7 Te 0.000 0.000 0.500
8 Te 0.500 0.500 0.500

Calculated values
The calculation puts the total energy at -5.48 eV per atom. As for the uncorrected formation energy: -1.20 eV per atom. The space group is No. 10.

This record from Alexandria describes a relaxed structure of La3ErGe4. The functional is PBE.

Lattice parameters (Å, degrees): 4.316 6.439 16.565 90.00 90.00 90.00
Element x y z (fractional)
1 La 0.000 0.000 0.000
2 La 0.000 0.500 0.197
3 La 0.000 0.500 0.803
4 La 0.500 0.000 0.303
5 La 0.500 0.000 0.697
6 La 0.500 0.500 0.500
7 Er 0.000 0.000 0.500
8 Er 0.500 0.500 0.000
9 Ge 0.000 0.306 0.372
10 Ge 0.000 0.306 0.628
11 Ge 0.000 0.694 0.372
12 Ge 0.000 0.694 0.628
13 Ge 0.500 0.194 0.128
14 Ge 0.500 0.194 0.872
15 Ge 0.500 0.806 0.128
16 Ge 0.500 0.806 0.872

Calculated values
The calculation puts the total energy at -5.43 eV per atom. Its formation energy from the elements is -0.71 eV/atom. The space group is No. 71.

This record from Alexandria describes a relaxed structure of Rb2CrTe. The functional is PBE.

Lattice parameters (Å, degrees): 13.602 13.602 5.203 90.00 90.00 90.00
Element x y z (fractional)
1 Rb 0.069 0.250 0.125
2 Rb 0.250 0.569 0.375
3 Rb 0.250 0.931 0.875
4 Rb 0.431 0.250 0.625
5 Rb 0.569 0.750 0.625
6 Rb 0.750 0.069 0.875
7 Rb 0.750 0.431 0.375
8 Rb 0.931 0.750 0.125
9 Cr 0.000 0.000 0.000
10 Cr 0.000 0.500 0.250
11 Cr 0.500 0.000 0.750
12 Cr 0.500 0.500 0.500
13 Te 0.000 0.000 0.500
14 Te 0.000 0.500 0.750
15 Te 0.500 0.000 0.250
16 Te 0.500 0.500 0.000

Calculated values
The calculation puts the total energy at -3.61 eV per atom. As for the uncorrected formation energy: 0.06 eV per atom. The space group is No. 122.

This record from Alexandria describes a relaxed structure of LaIr2Se. The functional is PBE.

Lattice parameters (Å, degrees): 4.458 4.458 14.935 90.00 90.00 120.00
Element x y z (fractional)
1 La 0.000 0.000 0.000
2 La 0.333 0.667 0.667
3 La 0.667 0.333 0.333
4 Ir 0.000 0.000 0.471
5 Ir 0.000 0.000 0.791
6 Ir 0.333 0.667 0.138
7 Ir 0.333 0.667 0.458
8 Ir 0.667 0.333 0.125
9 Ir 0.667 0.333 0.805
10 Se 0.000 0.000 0.203
11 Se 0.333 0.667 0.869
12 Se 0.667 0.333 0.536

Calculated values
The calculation puts the total energy at -7.00 eV per atom. As for the uncorrected formation energy: -0.47 eV per atom. The space group is No. 160. Its energy relative to the lowest polymorph listed for this composition is 0.0856 eV/atom.